1.
Zr2Sc4Ge3N3: optimized geometry, PBE.

a b c (Å): 5.6298 5.6298 13.9804
angles (deg): 78.41 78.41 60.07
With the nearest neighbours (Å) after each atom.
Atoms (fractional coordinates):
Ge 0.2446 0.4244 0.2498  4 Sc 2.85-2.90, 2 Zr 2.87, 1 Ge 3.17
Ge 0.9267 0.0733 0.2500  4 Sc 2.85-2.86, 2 Zr 2.90, 2 Ge 3.17
Ge 0.5756 0.7554 0.2502  4 Sc 2.85-2.90, 2 Zr 2.87, 1 Ge 3.17
Ge 0.4244 0.2446 0.7498  4 Sc 2.85-2.90, 2 Zr 2.87, 1 Ge 3.17
Ge 0.0733 0.9267 0.7500  4 Sc 2.85-2.86, 2 Zr 2.90, 2 Ge 3.17
Ge 0.7554 0.5756 0.7502  4 Sc 2.85-2.90, 2 Zr 2.87, 1 Ge 3.17
N 0.6683 0.1635 0.0000  4 Sc 2.22-2.25, 2 Zr 2.26-2.27
N 0.0000 0.5000 0.0000  2 Zr 2.24, 4 Sc 2.24
N 0.3317 0.8365 0.0000  4 Sc 2.22-2.25, 2 Zr 2.26-2.27
N 0.1635 0.6683 0.4999  4 Sc 2.22-2.25, 2 Zr 2.26-2.27
N 0.5000 0.0000 0.5000  2 Zr 2.24, 4 Sc 2.24
N 0.8365 0.3317 0.5001  4 Sc 2.22-2.25, 2 Zr 2.26-2.27
Sc 0.3037 0.1356 0.0898  3 N 2.22-2.24
Sc 0.9676 0.8053 0.0898  3 N 2.22-2.25
Sc 0.1947 0.0324 0.4102  3 N 2.22-2.25
Sc 0.8644 0.6963 0.4102  3 N 2.22-2.24
Sc 0.1356 0.3037 0.5898  3 N 2.22-2.24
Sc 0.8053 0.9676 0.5898  3 N 2.22-2.25
Sc 0.0324 0.1947 0.9102  3 N 2.22-2.25
Sc 0.6963 0.8644 0.9102  3 N 2.22-2.24
Zr 0.6381 0.4690 0.0909  3 N 2.24-2.27
Zr 0.5310 0.3619 0.4091  3 N 2.24-2.27
Zr 0.4690 0.6381 0.5909  3 N 2.24-2.27
Zr 0.3619 0.5310 0.9091  3 N 2.24-2.27

Final energy ... -8.041 eV per atom
SG ... C2/c (15)
Total magnetization ... 0.01 μB per formula unit
Calculated density ... 5.5 g cm⁻³



2.
Ta4SiGeN2: optimized geometry, PBE.

a b c (Å): 3.0727 3.0727 13.3451
angles (deg): 90.00 90.00 120.00
With the nearest neighbours (Å) after each atom.
Atoms (fractional coordinates):
Ge 0.0000 0.0000 0.0000  6 Ta 2.76, 6 Ge 3.07
N 0.3333 0.6667 0.2556  6 Ta 2.20
N 0.3333 0.6667 0.7444  6 Ta 2.20
Si 0.6667 0.3333 0.5000  6 Ta 2.64
Ta 0.6667 0.3333 0.1581  3 N 2.20
Ta 0.0000 0.0000 0.3532  3 N 2.20
Ta 0.0000 0.0000 0.6468  3 N 2.20
Ta 0.6667 0.3333 0.8419  3 N 2.20

Final energy ... -9.788 eV per atom
SG ... P-6m2 (187)
Total magnetization ... 0.00 μB per formula unit
Calculated density ... 13.0 g cm⁻³